# 1
Compound: InGa2Te2
Source: Alexandria
Functional: GGA-PBE
Structure: relaxed

## Properties
* symmetry: P4/mbm (127)
* energy: -15.27 eV per formula unit

a = 8.400 Å, b = 8.400 Å, c = 3.936 Å
α = 90.00°, β = 90.00°, γ = 90.00°
Atoms (fractional coordinates):
Te  0.667  0.167  0.000
In  0.500  0.500  0.000
Te  0.833  0.667  0.000
In  0.000  0.000  0.000
Te  0.333  0.833  0.000
Te  0.167  0.333  0.000
Ga  0.133  0.633  0.500
Ga  0.633  0.867  0.500
Ga  0.367  0.133  0.500
Ga  0.867  0.367  0.500

# 2
Compound: Rb3Pm2ErS6
Source: Alexandria
Functional: GGA-PBE
Structure: relaxed

## Properties
* symmetry: C2/m (12)
* energy: -63.79 eV per formula unit

a = 7.178 Å, b = 7.178 Å, c = 8.066 Å
α = 98.54°, β = 98.54°, γ = 120.00°
Atoms (fractional coordinates):
S  0.065  0.389  0.194
S  0.389  0.065  0.194
Pm  0.667  0.333  0.000
S  0.260  0.260  0.806
S  0.935  0.611  0.806
Er  0.000  0.000  0.000
Pm  0.333  0.667  0.000
S  0.740  0.740  0.194
Rb  0.168  0.832  0.500
Rb  0.832  0.168  0.500
Rb  0.500  0.500  0.500
S  0.611  0.935  0.806

# 3
Compound: Sm6Zn2Co
Source: Alexandria
Functional: GGA-PBE
Structure: relaxed

## Properties
* symmetry: P2_1/c (14)
* energy: -38.82 eV per formula unit

a = 6.871 Å, b = 7.236 Å, c = 10.297 Å
α = 90.00°, β = 90.47°, γ = 90.00°
Atoms (fractional coordinates):
Sm  0.810  0.688  0.551
Sm  0.384  0.508  0.751
Co  0.500  0.500  0.000
Sm  0.817  0.693  0.951
Zn  0.545  0.906  0.748
Co  0.000  0.000  0.500
Sm  0.190  0.312  0.449
Sm  0.116  0.008  0.749
Zn  0.045  0.594  0.248
Sm  0.317  0.807  0.451
Sm  0.183  0.307  0.049
Sm  0.690  0.188  0.949
Sm  0.683  0.193  0.549
Sm  0.616  0.492  0.249
Zn  0.955  0.406  0.752
Sm  0.310  0.812  0.051
Zn  0.455  0.094  0.252
Sm  0.884  0.992  0.251

# 4
Compound: Mn2AlTl
Source: Alexandria
Functional: GGA-PBE
Structure: relaxed

## Properties
* symmetry: F-43m (216)
* energy: -22.33 eV per formula unit

a = 4.496 Å, b = 4.496 Å, c = 4.496 Å
α = 60.00°, β = 60.00°, γ = 60.00°
Atoms (fractional coordinates):
Mn  0.000  0.000  0.000
Al  0.500  0.500  0.500
Mn  0.250  0.250  0.250
Tl  0.750  0.750  0.750

# 5
Compound: BePd2Pt2
Source: Alexandria
Functional: GGA-PBE
Structure: relaxed

## Properties
* symmetry: P4/mbm (127)
* energy: -26.79 eV per formula unit

a = 5.895 Å, b = 5.895 Å, c = 4.366 Å
α = 90.00°, β = 90.00°, γ = 90.00°
Atoms (fractional coordinates):
Pt  0.846  0.654  0.000
Be  0.500  0.500  0.000
Pd  0.836  0.336  0.500
Pd  0.164  0.664  0.500
Pt  0.154  0.346  0.000
Pt  0.654  0.154  0.000
Pd  0.336  0.164  0.500
Be  0.000  0.000  0.000
Pt  0.346  0.846  0.000
Pd  0.664  0.836  0.500

# 6
Compound: Rb3SnS4
Source: Alexandria
Functional: GGA-PBE
Structure: relaxed

## Properties
* symmetry: C2 (5)
* energy: -29.19 eV per formula unit

a = 5.278 Å, b = 8.395 Å, c = 8.395 Å
α = 59.08°, β = 74.56°, γ = 74.56°
Atoms (fractional coordinates):
Rb  0.000  0.895  0.105
S  0.657  0.581  0.127
S  0.311  0.243  0.731
Rb  0.728  0.899  0.662
S  0.689  0.269  0.757
Rb  0.272  0.338  0.101
Sn  0.500  0.553  0.447
S  0.343  0.873  0.419

# 7
Compound: Sc4Sb2C
Source: Alexandria
Functional: GGA-PBE
Structure: relaxed

## Properties
* symmetry: P2_1/m (11)
* energy: -47.21 eV per formula unit

a = 6.228 Å, b = 6.230 Å, c = 8.473 Å
α = 90.00°, β = 109.71°, γ = 90.00°
Atoms (fractional coordinates):
Sb  0.193  0.250  0.414
Sc  0.861  0.250  0.057
Sc  0.486  0.499  0.719
Sc  0.078  0.750  0.351
Sc  0.514  0.999  0.281
Sc  0.139  0.750  0.943
C  0.286  0.750  0.203
Sb  0.807  0.750  0.586
Sc  0.922  0.250  0.649
Sb  0.297  0.250  0.964
Sc  0.486  0.001  0.719
Sc  0.514  0.501  0.281
Sb  0.703  0.750  0.036
C  0.714  0.250  0.797

# 8
Compound: AcYTe2
Source: Alexandria
Functional: GGA-PBE
Structure: relaxed

## Properties
* symmetry: R3m (160)
* energy: -22.46 eV per formula unit

a = 4.386 Å, b = 4.386 Å, c = 8.441 Å
α = 74.94°, β = 74.94°, γ = 60.00°
Atoms (fractional coordinates):
Ac  0.497  0.497  0.509
Te  0.074  0.074  0.777
Y  0.670  0.670  0.990
Te  0.259  0.259  0.224

# 9
Compound: BaPm4Ge2
Source: Alexandria
Functional: GGA-PBE
Structure: relaxed

## Properties
* symmetry: R-3m (166)
* energy: -32.45 eV per formula unit

a = 5.305 Å, b = 5.305 Å, c = 9.669 Å
α = 74.08°, β = 74.08°, γ = 60.00°
Atoms (fractional coordinates):
Pm  0.848  0.848  0.455
Ba  0.000  0.000  0.000
Pm  0.152  0.152  0.545
Ge  0.739  0.739  0.783
Pm  0.429  0.429  0.712
Pm  0.571  0.571  0.288
Ge  0.261  0.261  0.217

# 10
Compound: CaAcP2Rh5
Source: Alexandria
Functional: GGA-PBE
Structure: relaxed

## Properties
* symmetry: P4/mmm (123)
* energy: -60.78 eV per formula unit

a = 4.235 Å, b = 4.235 Å, c = 8.989 Å
α = 90.00°, β = 90.00°, γ = 90.00°
Atoms (fractional coordinates):
Rh  0.000  0.500  0.727
Rh  0.000  0.500  0.273
P  0.500  0.500  0.820
Rh  0.500  0.000  0.273
P  0.500  0.500  0.180
Ca  0.000  0.000  0.500
Ac  0.000  0.000  0.000
Rh  0.500  0.000  0.727
Rh  0.500  0.500  0.500

# 11
Compound: Cu2Pd3Se8
Source: Alexandria
Functional: GGA-PBE
Structure: relaxed

## Properties
* symmetry: P-1 (2)
* energy: -53.54 eV per formula unit

a = 7.481 Å, b = 7.546 Å, c = 6.193 Å
α = 127.63°, β = 92.19°, γ = 89.92°
Atoms (fractional coordinates):
Pd  0.000  0.249  0.000
Pd  0.000  0.751  0.000
Pd  0.500  0.000  0.000
Se  0.398  0.898  0.306
Cu  0.817  0.834  0.670
Se  0.397  0.409  0.307
Cu  0.183  0.166  0.330
Se  0.602  0.102  0.694
Se  0.603  0.591  0.693
Se  0.169  0.409  0.818
Se  0.836  0.112  0.222
Se  0.164  0.888  0.778
Se  0.831  0.591  0.182

# 12
Compound: Ho3SeI7
Source: Alexandria
Functional: GGA-PBE
Structure: relaxed

## Properties
* symmetry: P3m1 (156)
* energy: -44.04 eV per formula unit

a = 7.669 Å, b = 8.639 Å, c = 8.639 Å
α = 120.00°, β = 90.00°, γ = 90.00°
Atoms (fractional coordinates):
I  0.555  0.830  0.170
Ho  0.773  0.017  0.509
I  0.555  0.339  0.170
I  0.012  0.663  0.832
Ho  0.773  0.491  0.983
Se  0.586  0.333  0.667
I  0.012  0.168  0.832
I  0.012  0.168  0.337
I  0.555  0.830  0.661
I  0.010  0.667  0.333
Ho  0.773  0.491  0.509